Below is a relaxed Np3Ni2As4 crystal, with properties calculated at the PBE-GGA level.

Energy above the most stable polymorph in this dataset: 0.0000 eV/atom
E_tot: -73.8 eV per formula unit
Energy of formation: -531 meV/atom

CIF file:
```
data_Np3Ni2As4
_cell_length_a 12.4052
_cell_length_b 3.9363
_cell_length_c 8.5689
_cell_angle_alpha 90.00
_cell_angle_beta 125.73
_cell_angle_gamma 90.00
_space_group_name_H-M_alt 'C 1 2/m 1'
_space_group_IT_number 12
loop_
_space_group_symop_operation_xyz
'x,y,z'
'-x,-y,-z'
'-x,y,-z'
'x,-y,z'
'x+1/2,y+1/2,z'
'-x+1/2,-y+1/2,-z'
'-x+1/2,y+1/2,-z'
'x+1/2,-y+1/2,z'
loop_
_atom_site_label
_atom_site_type_symbol
_atom_site_fract_x
_atom_site_fract_y
_atom_site_fract_z
Np1 Np 0.0000 0.0000 0.0000
Np2 Np 0.1004 0.5000 0.6603
Ni1 Ni 0.1852 0.5000 0.3669
As1 As 0.0860 0.0000 0.3871
As2 As 0.1967 0.5000 0.0987
```

---

Below is a relaxed NpNi5As2 crystal, with properties calculated at the PBE-GGA level.

E_tot: -53.6 eV per formula unit
Energy of formation: -302 meV/atom

CIF file:
```
data_NpNi5As2
_cell_length_a 3.7585
_cell_length_b 6.5892
_cell_length_c 9.1863
_cell_angle_alpha 90.00
_cell_angle_beta 90.00
_cell_angle_gamma 90.00
_space_group_name_H-M_alt 'I m m m'
_space_group_IT_number 71
_space_group_name_Hall '-I 2 2'
loop_
_atom_site_label
_atom_site_type_symbol
_atom_site_fract_x
_atom_site_fract_y
_atom_site_fract_z
Np1 Np 0.0000 0.0000 0.0000
Ni1 Ni 0.0000 0.1873 0.3618
Ni2 Ni 0.0000 0.5000 0.0000
As1 As 0.0000 0.5000 0.2495
```

---

Below is a relaxed NpNiAs2 crystal, with properties calculated at the PBE-GGA level.

E_tot: -29.2 eV per formula unit
Energy of formation: -295 meV/atom

CIF file:
```
data_NpNiAs2
_cell_length_a 4.3539
_cell_length_b 4.3539
_cell_length_c 3.6842
_cell_angle_alpha 90.00
_cell_angle_beta 90.00
_cell_angle_gamma 90.00
_space_group_name_H-M_alt 'P 4/m m m'
_space_group_IT_number 123
_space_group_name_Hall '-P 4 2'
loop_
_atom_site_label
_atom_site_type_symbol
_atom_site_fract_x
_atom_site_fract_y
_atom_site_fract_z
Np1 Np 0.0000 0.0000 0.0000
Ni1 Ni 0.5000 0.5000 0.0000
As1 As 0.0000 0.5000 0.5000
```

---

Below is a relaxed Np2NiAs3 crystal, with properties calculated at the PBE-GGA level.

E_tot: -47.6 eV per formula unit
Energy of formation: -336 meV/atom

CIF file:
```
data_Np2NiAs3
_cell_length_a 3.9859
_cell_length_b 5.8080
_cell_length_c 10.9690
_cell_angle_alpha 90.00
_cell_angle_beta 90.00
_cell_angle_gamma 90.00
_space_group_name_H-M_alt 'I m m m'
_space_group_IT_number 71
_space_group_name_Hall '-I 2 2'
loop_
_atom_site_label
_atom_site_type_symbol
_atom_site_fract_x
_atom_site_fract_y
_atom_site_fract_z
Np1 Np 0.0000 0.0000 0.1825
Ni1 Ni 0.0000 0.0000 0.5000
As1 As 0.0000 0.5000 0.1326
As2 As 0.0000 0.5000 0.5000
```

---

Below is a relaxed Np2Ni2As3 crystal, with properties calculated at the PBE-GGA level.

E_tot: -54.4 eV per formula unit
Energy of formation: -436 meV/atom

CIF file:
```
data_Np2Ni2As3
_cell_length_a 10.0133
_cell_length_b 4.2241
_cell_length_c 6.0818
_cell_angle_alpha 90.00
_cell_angle_beta 101.11
_cell_angle_gamma 90.00
_space_group_name_H-M_alt 'C 1 2/m 1'
_space_group_IT_number 12
loop_
_space_group_symop_operation_xyz
'x,y,z'
'-x,-y,-z'
'-x,y,-z'
'x,-y,z'
'x+1/2,y+1/2,z'
'-x+1/2,-y+1/2,-z'
'-x+1/2,y+1/2,-z'
'x+1/2,-y+1/2,z'
loop_
_atom_site_label
_atom_site_type_symbol
_atom_site_fract_x
_atom_site_fract_y
_atom_site_fract_z
Np1 Np 0.1220 0.0000 0.2706
Ni1 Ni 0.1033 0.5000 0.9126
As1 As 0.0000 0.5000 0.5000
As2 As 0.1841 0.0000 0.7965
```

---

Below is a relaxed NpNi2As3 crystal, with properties calculated at the PBE-GGA level.

E_tot: -40.5 eV per formula unit
Energy of formation: -338 meV/atom

CIF file:
```
data_NpNi2As3
_cell_length_a 3.6265
_cell_length_b 10.7224
_cell_length_c 5.2576
_cell_angle_alpha 90.00
_cell_angle_beta 90.00
_cell_angle_gamma 90.00
_space_group_name_H-M_alt 'P m c 21'
_space_group_IT_number 26
loop_
_space_group_symop_operation_xyz
'x,y,z'
'-x,-y,z+1/2'
'-x,y,z'
'x,-y,z+1/2'
loop_
_atom_site_label
_atom_site_type_symbol
_atom_site_fract_x
_atom_site_fract_y
_atom_site_fract_z
Np1 Np 0.0000 0.1093 0.0000
Ni1 Ni 0.0000 0.2502 0.4732
Ni2 Ni 0.5000 0.4803 0.4904
As1 As 0.0000 0.4035 0.7847
As2 As 0.5000 0.1109 0.5601
As3 As 0.5000 0.3093 0.1921
```

---

Below is a relaxed Np3Ni2As4 crystal, with properties calculated at the PBE-GGA level.

Energy above the most stable polymorph in this dataset: 0.0069 eV/atom
E_tot: -73.7 eV per formula unit
Energy of formation: -524 meV/atom

CIF file:
```
data_Np3Ni2As4
_cell_length_a 14.6770
_cell_length_b 3.9756
_cell_length_c 6.6655
_cell_angle_alpha 90.00
_cell_angle_beta 113.15
_cell_angle_gamma 90.00
_space_group_name_H-M_alt 'C 1 2/m 1'
_space_group_IT_number 12
loop_
_space_group_symop_operation_xyz
'x,y,z'
'-x,-y,-z'
'-x,y,-z'
'x,-y,z'
'x+1/2,y+1/2,z'
'-x+1/2,-y+1/2,-z'
'-x+1/2,y+1/2,-z'
'x+1/2,-y+1/2,z'
loop_
_atom_site_label
_atom_site_type_symbol
_atom_site_fract_x
_atom_site_fract_y
_atom_site_fract_z
Np1 Np 0.0000 0.0000 0.0000
Np2 Np 0.1354 0.0000 0.5767
Ni1 Ni 0.1883 0.5000 0.9933
As1 As 0.0202 0.5000 0.7196
As2 As 0.2095 0.0000 0.2190
```

---

Below is a relaxed Np3Ni7As4 crystal, with properties calculated at the PBE-GGA level.

E_tot: -103.7 eV per formula unit
Energy of formation: -416 meV/atom

CIF file:
```
data_Np3Ni7As4
_cell_length_a 15.0654
_cell_length_b 3.9345
_cell_length_c 8.6116
_cell_angle_alpha 90.00
_cell_angle_beta 120.85
_cell_angle_gamma 90.00
_space_group_name_H-M_alt 'C 1 2/m 1'
_space_group_IT_number 12
loop_
_space_group_symop_operation_xyz
'x,y,z'
'-x,-y,-z'
'-x,y,-z'
'x,-y,z'
'x+1/2,y+1/2,z'
'-x+1/2,-y+1/2,-z'
'-x+1/2,y+1/2,-z'
'x+1/2,-y+1/2,z'
loop_
_atom_site_label
_atom_site_type_symbol
_atom_site_fract_x
_atom_site_fract_y
_atom_site_fract_z
Np1 Np 0.0000 0.0000 0.0000
Np2 Np 0.1846 0.5000 0.6378
Ni1 Ni 0.0000 0.0000 0.5000
Ni2 Ni 0.0122 0.5000 0.7104
Ni3 Ni 0.1067 0.0000 0.3623
Ni4 Ni 0.1897 0.5000 0.0209
As1 As 0.1244 0.0000 0.8275
As2 As 0.1505 0.5000 0.2591
```

---

| no. | spin magnetization (μB per formula unit) |
| --- | --- |
| 1 | 6.34 |
| 2 | 3.71 |
| 3 | 2.91 |
| 4 | 7.83 |
| 5 | 7.42 |
| 6 | 4.09 |
| 7 | 11.15 |
| 8 | 10.41 |